# Nd5Dy4Sc2 (GGA-PBE, optimized geometry)
data_Nd5Dy4Sc2
_cell_length_a 8.8566
_cell_length_b 3.5206
_cell_length_c 11.3880
_cell_angle_alpha 90.00
_cell_angle_beta 93.93
_cell_angle_gamma 90.00
_space_group_name_H-M_alt 'P 1'
_space_group_IT_number 1
_space_group_name_Hall 'P 1'
loop_
_atom_site_label
_atom_site_type_symbol
_atom_site_fract_x
_atom_site_fract_y
_atom_site_fract_z
Nd1 Nd 0.0000 0.0000 0.0000
Nd2 Nd 0.0676 0.0000 0.3068
Nd3 Nd 0.3161 0.0000 0.8393
Nd4 Nd 0.6839 0.0000 0.1607
Nd5 Nd 0.9324 0.0000 0.6932
Dy1 Dy 0.2397 0.5000 0.5571
Dy2 Dy 0.3334 0.5000 0.1231
Dy3 Dy 0.6666 0.5000 0.8769
Dy4 Dy 0.7603 0.5000 0.4429
Sc1 Sc 0.4395 0.0000 0.3688
Sc2 Sc 0.5605 0.0000 0.6312
# Total moment: 0.0 Bohr magnetons per cell
# Space group: P2/m, No. 10
# Calculated volume: 32.205 A^3/atom
# Calculated formation energy: 82.8 meV/atom
# Energy above the most stable polymorph in this dataset: 0 meV/atom
# Density: 6.849 g/cm³

# Nd5Dy4Sc (GGA-PBE, optimized geometry)
data_Nd5Dy4Sc
_cell_length_a 9.4706
_cell_length_b 9.4706
_cell_length_c 10.1453
_cell_angle_alpha 105.44
_cell_angle_beta 105.44
_cell_angle_gamma 21.84
_space_group_name_H-M_alt 'P 1'
_space_group_IT_number 1
_space_group_name_Hall 'P 1'
loop_
_atom_site_label
_atom_site_type_symbol
_atom_site_fract_x
_atom_site_fract_y
_atom_site_fract_z
Nd1 Nd 0.0000 0.0000 0.0000
Nd2 Nd 0.1999 0.1999 0.1007
Nd3 Nd 0.4026 0.4026 0.6915
Nd4 Nd 0.5974 0.5974 0.3085
Nd5 Nd 0.8001 0.8001 0.8993
Dy1 Dy 0.1991 0.1991 0.5995
Dy2 Dy 0.4009 0.4009 0.2094
Dy3 Dy 0.5991 0.5991 0.7906
Dy4 Dy 0.8009 0.8009 0.4005
Sc1 Sc 0.0000 0.0000 0.5000
# Total moment: 0.0 Bohr magnetons per cell
# Space group: C2/m, No. 12
# Calculated volume: 32.579 A^3/atom
# Calculated formation energy: 31.0 meV/atom
# Energy above the most stable polymorph in this dataset: 0 meV/atom
# Density: 7.218 g/cm³

# NdDy4Sc2 (GGA-PBE, optimized geometry)
data_NdDy4Sc2
_cell_length_a 6.5396
_cell_length_b 6.5396
_cell_length_c 6.0929
_cell_angle_alpha 99.08
_cell_angle_beta 99.08
_cell_angle_gamma 57.49
_space_group_name_H-M_alt 'P 1'
_space_group_IT_number 1
_space_group_name_Hall 'P 1'
loop_
_atom_site_label
_atom_site_type_symbol
_atom_site_fract_x
_atom_site_fract_y
_atom_site_fract_z
Nd1 Nd 0.0000 0.0000 0.0000
Dy1 Dy 0.0000 0.5000 0.0000
Dy2 Dy 0.1588 0.1588 0.5021
Dy3 Dy 0.5000 0.0000 0.0000
Dy4 Dy 0.8412 0.8412 0.4979
Sc1 Sc 0.4608 0.4608 0.7357
Sc2 Sc 0.5392 0.5392 0.2643
# Total moment: 0.0 Bohr magnetons per cell
# Space group: C2/m, No. 12
# Calculated volume: 30.876 A^3/atom
# Calculated formation energy: 255.7 meV/atom
# Energy above the most stable polymorph in this dataset: 115 meV/atom
# Density: 6.793 g/cm³

# Nd6DySc2 (GGA-PBE, optimized geometry)
data_Nd6DySc2
_cell_length_a 8.0711
_cell_length_b 8.0711
_cell_length_c 10.3957
_cell_angle_alpha 90.00
_cell_angle_beta 90.00
_cell_angle_gamma 90.00
_space_group_name_H-M_alt 'P 1'
_space_group_IT_number 1
_space_group_name_Hall 'P 1'
loop_
_atom_site_label
_atom_site_type_symbol
_atom_site_fract_x
_atom_site_fract_y
_atom_site_fract_z
Nd1 Nd 0.2319 0.2319 0.0000
Nd2 Nd 0.2425 0.2425 0.3306
Nd3 Nd 0.2425 0.2425 0.6694
Nd4 Nd 0.2575 0.7425 0.1694
Nd5 Nd 0.2575 0.7425 0.8306
Nd6 Nd 0.2681 0.7319 0.5000
Nd7 Nd 0.7319 0.2681 0.5000
Nd8 Nd 0.7425 0.2575 0.1694
Nd9 Nd 0.7425 0.2575 0.8306
Nd10 Nd 0.7575 0.7575 0.3306
Nd11 Nd 0.7575 0.7575 0.6694
Nd12 Nd 0.7681 0.7681 0.0000
Dy1 Dy 0.0000 0.0000 0.5000
Dy2 Dy 0.5000 0.5000 0.0000
Sc1 Sc 0.0000 0.0000 0.1665
Sc2 Sc 0.0000 0.0000 0.8335
Sc3 Sc 0.5000 0.5000 0.3335
Sc4 Sc 0.5000 0.5000 0.6665
# Total moment: 0.0 Bohr magnetons per cell
# Space group: P4_2/mnm, No. 136
# Calculated volume: 37.622 A^3/atom
# Calculated formation energy: 566.8 meV/atom
# Energy above the most stable polymorph in this dataset: 405 meV/atom
# Density: 5.482 g/cm³